Rb2POF5: optimized geometry, PBE.

a = 6.166 Å, b = 6.166 Å, c = 6.166 Å
α = 85.17°, β = 122.82°, γ = 122.82°
Last column: magnetic moment on the atom in μB.
Fractional positions:
1 Rb 0.500 0.749 0.249  0.00
2 Rb 0.500 0.249 0.749  0.00
3 F 0.000 0.803 0.209  0.00
4 F 0.000 0.209 0.803  0.00
5 F 0.594 0.803 0.803  0.00
6 F 0.000 0.178 0.178  0.00
7 F 0.406 0.209 0.209  0.00
8 P 0.000 0.984 0.984  0.00
9 O 0.000 0.815 0.815  0.06

Values from the calculation:
As for the crystal system: tetragonal. As for the space-group type: No. 107. The value obtained for the magnetization is 0.1 Bohr magnetons per cell. Its uncorrected formation energy is -2.62 eV/atom.

KRb2BaCl: optimized geometry, PBE.

a = 7.172 Å, b = 7.172 Å, c = 6.204 Å
α = 90.00°, β = 90.00°, γ = 90.00°
Fractional positions:
1 K 0.500 0.500 0.500
2 Cl 0.000 0.000 0.000
3 Rb 0.000 0.500 0.000
4 Rb 0.500 0.000 0.000
5 Ba 0.000 0.000 0.500

Values from the calculation:
As for the crystal system: tetragonal. As for the space-group type: No. 123. The value obtained for the magnetization is 0.0 Bohr magnetons per cell. Its uncorrected formation energy is -0.65 eV/atom.

KFeBr2: optimized geometry, PBE.

a = 5.448 Å, b = 5.448 Å, c = 5.448 Å
α = 60.00°, β = 60.00°, γ = 60.00°
Last column: magnetic moment on the atom in μB.
Fractional positions:
1 Fe 0.500 0.500 0.500  3.22
2 Br 0.000 0.000 0.000  0.04
3 Br 0.250 0.250 0.250  0.03
4 K 0.750 0.750 0.750  0.01

Values from the calculation:
As for the crystal system: cubic. As for the space-group type: No. 216. The value obtained for the magnetization is 3.7 Bohr magnetons per cell. Its uncorrected formation energy is 0.18 eV/atom.

LiPaSbO2: optimized geometry, PBE.

a = 3.858 Å, b = 3.858 Å, c = 6.885 Å
α = 106.27°, β = 106.27°, γ = 90.00°
Fractional positions:
1 Pa 0.176 0.176 0.352
2 Sb 0.505 0.505 0.011
3 Li 0.819 0.819 0.639
4 O 0.250 0.750 0.499
5 O 0.750 0.250 0.499

Values from the calculation:
As for the crystal system: tetragonal. As for the space-group type: No. 107. The value obtained for the magnetization is 0.0 Bohr magnetons per cell. Its uncorrected formation energy is -2.20 eV/atom.

Pm4Ho10Sc: optimized geometry, PBE.

a = 7.697 Å, b = 8.865 Å, c = 8.865 Å
α = 79.14°, β = 64.27°, γ = 64.27°
Fractional positions:
1 Ho 0.287 0.208 0.792
2 Ho 0.080 0.208 0.208
3 Ho 0.750 0.500 0.500
4 Ho 0.505 0.208 0.208
5 Ho 0.250 0.500 0.500
6 Ho 0.713 0.792 0.208
7 Ho 0.287 0.792 0.208
8 Ho 0.495 0.792 0.792
9 Ho 0.713 0.208 0.792
10 Ho 0.920 0.792 0.792
11 Pm 0.770 0.000 0.460
12 Pm 0.770 0.460 0.000
13 Pm 0.230 0.000 0.540
14 Pm 0.230 0.540 0.000
15 Sc 0.000 0.000 0.000

Values from the calculation:
As for the crystal system: tetragonal. The formation enthalpy at 0 K comes out at 0.2583 eV per atom. As for the space-group type: No. 139. The value obtained for the magnetization is 0.0 Bohr magnetons per cell.

KTa2SnI: optimized geometry, PBE.

a = 5.281 Å, b = 6.712 Å, c = 5.281 Å
α = 90.00°, β = 90.00°, γ = 90.00°
Last column: magnetic moment on the atom in μB.
Fractional positions:
1 Ta 0.000 0.000 0.500  1.57
2 Ta 0.500 0.000 0.000  1.18
3 I 0.500 0.500 0.500  0.02
4 K 0.000 0.500 0.000  0.00
5 Sn 0.000 0.000 0.000  -0.01

Values from the calculation:
As for the crystal system: tetragonal. As for the space-group type: No. 123. The value obtained for the magnetization is 4.4 Bohr magnetons per cell. Its uncorrected formation energy is 1.41 eV/atom.

K2UAgBr6: optimized geometry, PBE.

a = 6.772 Å, b = 7.879 Å, c = 7.879 Å
α = 120.00°, β = 90.00°, γ = 90.00°
Last column: magnetic moment on the atom in μB.
Fractional positions:
1 Br 0.744 0.653 0.827  -0.01
2 Br 0.256 0.347 0.173  -0.01
3 Br 0.744 0.173 0.347  -0.01
4 Br 0.744 0.173 0.827  -0.01
5 Br 0.256 0.827 0.653  -0.01
6 Br 0.256 0.827 0.173  -0.01
7 U 0.500 0.000 0.000  2.83
8 K 0.700 0.667 0.333  0.00
9 K 0.300 0.333 0.667  0.00
10 Ag 0.000 0.000 0.000  0.03

Values from the calculation:
As for the crystal system: trigonal. As for the space-group type: No. 164. The value obtained for the magnetization is 3.0 Bohr magnetons per cell. Its uncorrected formation energy is -1.23 eV/atom.

Sc6GeS3: optimized geometry, PBE.

a = 3.715 Å, b = 10.957 Å, c = 10.788 Å
α = 114.97°, β = 90.00°, γ = 90.00°
Fractional positions:
1 Sc 0.750 0.094 0.457
2 Sc 0.750 0.925 0.086
3 Sc 0.250 0.627 0.954
4 Sc 0.750 0.782 0.725
5 Sc 0.250 0.218 0.275
6 Sc 0.250 0.269 0.756
7 Sc 0.750 0.440 0.595
8 Sc 0.250 0.075 0.914
9 Sc 0.750 0.731 0.244
10 Sc 0.750 0.373 0.046
11 Sc 0.250 0.906 0.543
12 Sc 0.250 0.560 0.405
13 S 0.750 0.730 0.475
14 S 0.750 0.162 0.096
15 S 0.250 0.549 0.157
16 S 0.250 0.838 0.904
17 S 0.250 0.270 0.525
18 S 0.750 0.451 0.843
19 Ge 0.750 0.068 0.723
20 Ge 0.250 0.932 0.277

Values from the calculation:
As for the crystal system: monoclinic. As for the space-group type: No. 11. The value obtained for the magnetization is 0.0 Bohr magnetons per cell. Its uncorrected formation energy is -1.32 eV/atom.